Compound: CsAgB4
Source: OQMD via LeMat-Bulk
Functional: GGA-PBE
Structure: relaxed

a = 6.1862 Å, b = 6.1862 Å, c = 6.1862 Å
α = 152.59°, β = 125.14°, γ = 62.40°
Atoms (fractional coordinates):
B  0.0935  0.7423  0.3512
B  0.6089  0.2577  0.3512
B  0.9065  0.2577  0.6488
B  0.3911  0.7423  0.6488
Ag  0.0000  0.0000  0.0000
Cs  0.5000  0.5000  0.0000

Summary:
symmetry	Immm (71)
raw total energy	-25.2	eV/cell
density	5.33	g cm⁻³
energy relative to the lowest polymorph listed for this composition	185	meV/atom